The following is a DFT calculation (PBE) of an optimized crystal structure of La2PrY2Mg5.

Cell: 10.7758 10.7758 5.1703 Å, 90.00 90.00 90.00°
With the nearest neighbours (Å) after each atom.
Sites, in units of the cell vectors:
La 0.1760 0.3240 0.0000  3 Y 3.10-3.25
La 0.3240 0.8240 0.0000  3 Y 3.10-3.25
La 0.6760 0.1760 0.0000  3 Y 3.10-3.25
La 0.8240 0.6760 0.0000  3 Y 3.10-3.25
Pr 0.0000 0.0000 0.0000  8 Mg 3.45
Pr 0.5000 0.5000 0.0000  8 Mg 3.45
Y 0.1206 0.6206 0.0000  3 La 3.10-3.25, 6 Mg 3.17-3.27
Y 0.3794 0.1206 0.0000  3 La 3.10-3.25, 6 Mg 3.17-3.27
Y 0.6206 0.8794 0.0000  3 La 3.10-3.25, 6 Mg 3.17-3.27
Y 0.8794 0.3794 0.0000  3 La 3.10-3.25, 6 Mg 3.17-3.27
Mg 0.0000 0.5000 0.5000  4 Y 3.17, 4 Mg 3.33
Mg 0.0730 0.8002 0.5000  4 Mg 3.24-3.46, 2 Y 3.27, 2 Pr 3.45
Mg 0.1998 0.0730 0.5000  4 Mg 3.24-3.46, 2 Y 3.27, 2 Pr 3.45
Mg 0.3002 0.5730 0.5000  4 Mg 3.24-3.46, 2 Y 3.27, 2 Pr 3.45
Mg 0.4270 0.3002 0.5000  4 Mg 3.24-3.46, 2 Y 3.27, 2 Pr 3.45
Mg 0.5000 0.0000 0.5000  4 Y 3.17, 4 Mg 3.33
Mg 0.5730 0.6998 0.5000  4 Mg 3.24-3.46, 2 Y 3.27, 2 Pr 3.45
Mg 0.6998 0.4270 0.5000  4 Mg 3.24-3.46, 2 Y 3.27, 2 Pr 3.45
Mg 0.8002 0.9270 0.5000  4 Mg 3.24-3.46, 2 Y 3.27, 2 Pr 3.45
Mg 0.9270 0.1998 0.5000  4 Mg 3.24-3.46, 2 Y 3.27, 2 Pr 3.45

Output
Calculated volume = 30.02 A^3/atom
Energy of formation = 0.22 kJ/mol of atoms
Space group = P4/mbm (127)
Size of the total moment = 0.000 μB/cell